## Li7FeO4F2 (PBE with a Hubbard U)

Data for an optimized crystal structure of Li7FeO4F2.

a = 5.544 Å, b = 5.912 Å, c = 9.709 Å
α = 102.13°, β = 92.51°, γ = 117.45°
Element x y z (fractional)
Li  0.000  0.000  0.000
Li  0.001  0.948  0.319
Li  0.009  0.983  0.691
Li  0.167  0.592  0.288
Li  0.293  0.264  0.551
Li  0.335  0.262  0.211
Li  0.468  0.945  0.534
Li  0.525  0.969  0.208
Li  0.527  0.039  0.847
Li  0.572  0.598  0.807
Li  0.622  0.583  0.068
Li  0.792  0.258  0.076
Li  0.813  0.229  0.419
Li  0.913  0.458  0.726
Fe  0.166  0.634  0.996
Fe  0.725  0.612  0.438
O  0.098  0.878  0.498
O  0.137  0.877  0.152
O  0.194  0.386  0.084
O  0.575  0.857  0.994
O  0.609  0.837  0.361
O  0.669  0.384  0.563
O  0.719  0.369  0.264
O  0.772  0.424  0.913
F  0.126  0.867  0.832
F  0.179  0.326  0.385
F  0.192  0.360  0.728
F  0.631  0.876  0.688

Results
Symmetry: P1
Energy above the most stable polymorph in this dataset in meV/atom: 0
VASP energy in eV per atom: -5.0962